w) This record from the Alexandria database describes crystalline Zr2GeP at its relaxed geometry. The functional is PBE.

Results
D(E_F)   0.8788 states/eV per atom

Cell: 4.701 4.701 4.701 Å, 60.00 60.00 60.00°
Positions (direct):
1 Zr 0.250 0.250 0.250
2 Zr 0.750 0.750 0.750
3 Ge 0.000 0.000 0.000
4 P 0.500 0.500 0.500

x) This record from the Alexandria database describes crystalline Zr2GeP at its relaxed geometry. The functional is PBE.

Results
D(E_F)   0.5857 states/eV per atom

Cell: 6.404 6.724 6.724 Å, 30.88 90.00 90.00°
Positions (direct):
1 Zr 0.000 0.000 0.000
2 Zr 0.000 0.250 0.250
3 Zr 0.500 0.188 0.188
4 Zr 0.500 0.473 0.473
5 Ge 0.297 0.840 0.840
6 Ge 0.703 0.840 0.840
7 P 0.216 0.617 0.617
8 P 0.784 0.617 0.617

y) This record from the Alexandria database describes crystalline Zr2GeP at its relaxed geometry. The functional is PBE.

Results
D(E_F)   0.5034 states/eV per atom

Cell: 3.802 3.802 6.624 Å, 106.59 106.59 60.04°
Positions (direct):
1 Zr 0.246 0.246 0.239
2 Zr 0.754 0.754 0.761
3 Ge 0.000 0.000 0.500
4 P 0.500 0.500 0.000

z) This record from the Alexandria database describes crystalline Zr2GeP at its relaxed geometry. The functional is PBE.

Results
D(E_F)   0.8083 states/eV per atom

Cell: 7.045 7.045 7.045 Å, 30.37 30.37 30.37°
Positions (direct):
1 Zr 0.000 0.000 0.000
2 Zr 0.186 0.186 0.186
3 Ge 0.760 0.760 0.760
4 P 0.591 0.591 0.591

Most stable structure, least stable structure: y), w).

w) This record from the Alexandria database describes crystalline Pa4Ge3 at its relaxed geometry. The functional is PBE.

Results
D(E_F)   2.1941 states/eV per atom

Cell: 7.523 7.523 7.523 Å, 109.47 109.47 109.47°
Positions (direct):
1 Pa 0.000 0.149 0.500
2 Pa 0.000 0.649 0.500
3 Pa 0.149 0.500 0.000
4 Pa 0.351 0.351 0.351
5 Pa 0.500 0.000 0.149
6 Pa 0.500 0.000 0.649
7 Pa 0.649 0.500 0.000
8 Pa 0.851 0.851 0.851
9 Ge 0.125 0.875 0.250
10 Ge 0.250 0.125 0.875
11 Ge 0.375 0.625 0.750
12 Ge 0.625 0.750 0.375
13 Ge 0.750 0.375 0.625
14 Ge 0.875 0.250 0.125

x) This record from the Alexandria database describes crystalline Pa4Ge3 at its relaxed geometry. The functional is PBE.

Results
D(E_F)   2.0950 states/eV per atom

Cell: 12.036 12.036 12.036 Å, 19.60 19.60 19.60°
Positions (direct):
1 Pa 0.119 0.119 0.119
2 Pa 0.311 0.311 0.311
3 Pa 0.689 0.689 0.689
4 Pa 0.881 0.881 0.881
5 Ge 0.404 0.404 0.404
6 Ge 0.500 0.500 0.500
7 Ge 0.596 0.596 0.596

Most stable structure, least stable structure: w), x).

w) This record from the Alexandria database describes crystalline Pa3Ge at its relaxed geometry. The functional is PBE.

Results
D(E_F)   2.0668 states/eV per atom

Cell: 6.147 6.147 6.147 Å, 150.10 62.03 127.03°
Positions (direct):
1 Pa 0.000 0.000 0.000
2 Pa 0.443 0.679 0.764
3 Pa 0.915 0.679 0.236
4 Ge 0.487 0.987 0.500

x) This record from the Alexandria database describes crystalline Pa3Ge at its relaxed geometry. The functional is PBE.

Results
D(E_F)   2.9336 states/eV per atom

Cell: 5.057 5.057 5.057 Å, 60.00 60.00 60.00°
Positions (direct):
1 Pa 0.000 0.000 0.000
2 Pa 0.250 0.250 0.250
3 Pa 0.750 0.750 0.750
4 Ge 0.500 0.500 0.500

Most stable structure, least stable structure: w), x).